Entry 1:
## LaSm3Ir (PBE)

Data for a relaxed structure of LaSm3Ir.

## Properties
Space group = No. 12
Offset from the most stable computed form = 2 meV/atom

Cell: 7.071 7.071 6.758 Å, 105.61 105.61 90.27°
Fractional positions:
La  0.068  0.068  0.273
La  0.932  0.932  0.727
Sm  0.066  0.564  0.268
Sm  0.435  0.435  0.733
Sm  0.436  0.934  0.732
Sm  0.564  0.066  0.268
Sm  0.565  0.565  0.267
Sm  0.934  0.436  0.732
Ir  0.250  0.250  0.995
Ir  0.750  0.750  0.005

Entry 2:
## SiTe2Rh (PBE)

Data for a relaxed structure of SiTe2Rh.

## Properties
Space group = No. 160
Formation energy without anion corrections = -0.2 eV/f.u.

Cell: 6.845 6.845 6.845 Å, 33.80 33.80 33.80°
Fractional positions:
Si  0.000  0.000  0.000
Te  0.242  0.242  0.242
Te  0.455  0.455  0.455
Rh  0.711  0.711  0.711

Entry 3:
## LaZn2Co2 (PBE)

Data for a relaxed structure of LaZn2Co2.

## Properties
Space group = No. 139
Offset from the most stable computed form = 81 meV/atom

Cell: 5.480 5.480 5.480 Å, 133.07 133.07 68.54°
Fractional positions:
La  0.000  0.000  0.000
Zn  0.361  0.361  0.000
Zn  0.639  0.639  0.000
Co  0.250  0.750  0.500
Co  0.750  0.250  0.500

Entry 4:
## ThScAsSe (PBE)

Data for a relaxed structure of ThScAsSe.

## Properties
Space group = No. 160
Formation energy without anion corrections = -5.9 eV/f.u.

Cell: 7.119 7.119 7.119 Å, 32.97 32.97 32.97°
Fractional positions:
Th  0.000  0.000  0.000
Sc  0.508  0.508  0.508
As  0.244  0.244  0.244
Se  0.763  0.763  0.763

Entry 5:
## CdSn4Pd7 (PBE)

Data for a relaxed structure of CdSn4Pd7.

## Properties
Space group = No. 12
DFT total energy = -57.5 eV for the cell shown

Cell: 6.115 6.115 9.764 Å, 118.65 118.65 48.10°
Fractional positions:
Cd  0.000  0.000  0.000
Sn  0.255  0.255  0.665
Sn  0.410  0.410  0.221
Sn  0.590  0.590  0.779
Sn  0.745  0.745  0.335
Pd  0.076  0.076  0.328
Pd  0.210  0.210  0.905
Pd  0.364  0.364  0.471
Pd  0.500  0.500  0.000
Pd  0.636  0.636  0.529
Pd  0.790  0.790  0.095
Pd  0.924  0.924  0.672

Entry 6:
## ZrHg2Os (PBE)

Data for a relaxed structure of ZrHg2Os.

## Properties
Space group = No. 10
Offset from the most stable computed form = 255 meV/atom

Cell: 2.962 4.864 5.580 Å, 90.00 103.93 90.00°
Fractional positions:
Zr  0.000  0.000  0.000
Hg  0.359  0.500  0.739
Hg  0.641  0.500  0.261
Os  0.500  0.000  0.500

What did the first record say?
## LaSm3Ir (PBE)

Data for a relaxed structure of LaSm3Ir.

## Properties
Space group = No. 12
Offset from the most stable computed form = 2 meV/atom

Cell: 7.071 7.071 6.758 Å, 105.61 105.61 90.27°
Fractional positions:
La  0.068  0.068  0.273
La  0.932  0.932  0.727
Sm  0.066  0.564  0.268
Sm  0.435  0.435  0.733
Sm  0.436  0.934  0.732
Sm  0.564  0.066  0.268
Sm  0.565  0.565  0.267
Sm  0.934  0.436  0.732
Ir  0.250  0.250  0.995
Ir  0.750  0.750  0.005